Computed, not measured: an optimized crystal structure of Mg2Ta2FeO8 at the PBE+U level of DFT.

Values from the calculation:
As for the total energy: -8.18 eV/atom.

a = 19.2924 Å, b = 6.0453 Å, c = 5.1954 Å
α = 90.00°, β = 90.65°, γ = 90.00°
Space group C2/c (No. 15)
Symmetry-distinct sites (fractional):
Mg 0.2276 0.1430 0.2462
Ta 0.1173 0.3354 0.7408
Fe 0.0000 0.1507 0.2500
O 0.0599 0.1289 0.5840
O 0.0732 0.3907 0.0742
O 0.1872 0.3960 0.4545
O 0.1916 0.1467 0.8794